Here is a relaxed MnBi2SbO6 crystal from Alexandria via LeMat-Bulk. Energies are from PBE with a Hubbard U.

The space group is R3 (No. 146, hexagonal axes) and the conventional cell measures 5.9226, 5.9226 and 14.4914 Å, with angles of 90.00, 90.00 and 120.00 degrees. Symmetry generates all atoms from Mn at (0.0000, 0.0000, 0.0000), Bi at (0.0000, 0.0000, 0.2767), Bi at (0.0000, 0.0000, 0.7793), Sb at (0.0000, 0.0000, 0.4946), O at (0.0836, 0.3693, 0.5582) and O at (0.0935, 0.7205, 0.0614).

For the final energy, the calculation gives -6.19 eV per atom.